Here is a relaxed Fe6O7F5 crystal from the Alexandria database. Energies are from GGA+U.

- Total DFT energy (no corrections): -6.0758 eV/atom
- Crystal system: monoclinic

a = 9.2047 Å, b = 6.4777 Å, c = 7.5861 Å
α = 90.00°, β = 115.47°, γ = 90.00°
With the nearest neighbours (Å) after each atom.
Space group C2 (No. 5)
Unique sites:
1 Fe 0.0000 0.0000 0.0000 (multiplicity 2)  3 O 1.90-1.97, 3 F 2.06-2.09
2 Fe 0.0000 0.0304 0.5000 (multiplicity 2)  4 O 1.91
3 Fe 0.1604 0.5332 0.6800 (multiplicity 4)  3 O 1.90-1.99, 3 F 2.01-2.09
4 Fe 0.1901 0.5362 0.1514 (multiplicity 4)  4 O 1.94-1.98, 1 F 2.14
5 O 0.0000 0.7062 0.0000 (multiplicity 2)  3 Fe 1.90-1.97
6 O 0.1540 0.2269 0.6623 (multiplicity 4)  3 Fe 1.91-1.99
7 O 0.1555 0.8369 0.6647 (multiplicity 4)  3 Fe 1.91-1.98
8 O 0.2261 0.0253 0.0429 (multiplicity 4)  3 Fe 1.90-1.97
9 F 0.0000 0.3220 0.0000 (multiplicity 2)  3 Fe 2.09-2.14
10 F 0.0736 0.5297 0.3761 (multiplicity 4)  2 Fe 2.01-2.09
11 F 0.1074 0.0297 0.2999 (multiplicity 4)  3 Fe 2.06-2.14

Here is a relaxed Fe2OF3 crystal from the Alexandria database. Energies are from GGA+U.

- Total DFT energy (no corrections): -5.7059 eV/atom
- Crystal system: monoclinic

a = 12.8205 Å, b = 3.2071 Å, c = 8.9403 Å
α = 90.00°, β = 122.92°, γ = 90.00°
With the nearest neighbours (Å) after each atom.
Space group C2/m (No. 12)
Unique sites:
1 Fe 0.1177 0.0000 0.4495 (multiplicity 4)  5 F 2.11-2.19, 2 O 2.18-2.32
2 Fe 0.1376 0.5000 0.8150 (multiplicity 4)  2 O 1.93, 2 F 1.99-2.01
3 O 0.0952 0.0000 0.6739 (multiplicity 4)  2 Fe 1.93
4 F 0.0372 0.5000 0.2503 (multiplicity 4)  3 Fe 1.99-2.19
5 F 0.1772 0.0000 0.0132 (multiplicity 4)  3 Fe 2.01-2.23
6 F 0.2346 0.5000 0.6036 (multiplicity 4)  3 Fe 2.11-2.19

Here is a relaxed Fe5O7F3 crystal from the Alexandria database. Energies are from GGA+U.

- Total DFT energy (no corrections): -6.0963 eV/atom
- Crystal system: triclinic

a = 4.6610 Å, b = 4.6687 Å, c = 15.1856 Å
α = 89.97°, β = 90.00°, γ = 88.54°
With the nearest neighbours (Å) after each atom.
Space group P1 (No. 1)
Unique sites:
1 Fe 0.0000 0.0000 0.0000 (multiplicity 1)  5 O 1.94-1.97, 1 F 2.11
2 Fe 0.0008 0.0001 0.1973 (multiplicity 1)  5 O 1.98-2.01, 1 F 2.13
3 Fe 0.0027 0.9916 0.8061 (multiplicity 1)  4 O 1.93-1.98, 2 F 2.11-2.14
4 Fe 0.0266 0.0282 0.5988 (multiplicity 1)  4 O 1.91-2.04, 2 F 2.07
5 Fe 0.0512 0.0637 0.3923 (multiplicity 1)  4 O 1.93-1.96, 2 F 2.11-2.16
6 Fe 0.5070 0.5597 0.6933 (multiplicity 1)  4 O 1.91-1.94, 1 F 2.09
7 Fe 0.5265 0.5310 0.2992 (multiplicity 1)  4 O 1.91-1.98, 2 F 2.07-2.09
8 Fe 0.5314 0.5283 0.8984 (multiplicity 1)  4 O 1.92-2.00, 2 F 2.09-2.10
9 Fe 0.5306 0.5298 0.0983 (multiplicity 1)  4 O 1.91-2.00, 2 F 2.06-2.08
10 Fe 0.5498 0.4951 0.5035 (multiplicity 1)  4 O 1.93-2.00, 2 F 2.09-2.11
11 O 0.2017 0.8399 0.7000 (multiplicity 1)  3 Fe 1.91-1.98
12 O 0.2042 0.8120 0.9030 (multiplicity 1)  3 Fe 1.93-2.00
13 O 0.2070 0.8199 0.0971 (multiplicity 1)  3 Fe 1.94-2.00
14 O 0.2245 0.8301 0.2983 (multiplicity 1)  3 Fe 1.96-2.01
15 O 0.3294 0.3344 0.6022 (multiplicity 1)  3 Fe 1.94-2.04
16 O 0.3537 0.3453 0.3976 (multiplicity 1)  3 Fe 1.91-1.99
17 O 0.6962 0.7141 0.7948 (multiplicity 1)  3 Fe 1.92-1.96
18 O 0.7041 0.7036 0.2000 (multiplicity 1)  3 Fe 1.91-1.98
19 O 0.7056 0.7042 0.9988 (multiplicity 1)  3 Fe 1.91-1.97
20 O 0.7258 0.7290 0.5987 (multiplicity 1)  3 Fe 1.94-2.00
21 O 0.8194 0.2054 0.9017 (multiplicity 1)  3 Fe 1.95-1.99
22 O 0.8205 0.2061 0.0970 (multiplicity 1)  3 Fe 1.94-2.00
23 O 0.8271 0.2242 0.2966 (multiplicity 1)  3 Fe 1.93-2.00
24 O 0.8579 0.2119 0.4980 (multiplicity 1)  3 Fe 1.91-1.96
25 F 0.2467 0.8310 0.4960 (multiplicity 1)  3 Fe 2.07-2.11
26 F 0.3119 0.3221 0.7975 (multiplicity 1)  3 Fe 2.09-2.15
27 F 0.3178 0.3139 0.9994 (multiplicity 1)  3 Fe 2.08-2.11
28 F 0.3184 0.3200 0.1973 (multiplicity 1)  3 Fe 2.06-2.13
29 F 0.7437 0.7277 0.4009 (multiplicity 1)  3 Fe 2.07-2.16
30 F 0.8138 0.2280 0.7021 (multiplicity 1)  3 Fe 2.07-2.11

Here is a relaxed FeOF crystal from the Alexandria database. Energies are from GGA+U.

- Total DFT energy (no corrections): -6.0121 eV/atom
- Crystal system: orthorhombic

a = 6.1364 Å, b = 6.7463 Å, c = 6.7427 Å
α = 90.00°, β = 90.00°, γ = 90.00°
With the nearest neighbours (Å) after each atom.
Space group Ama2 (No. 40)
Unique sites:
1 Fe 0.0000 0.0000 0.0000 (multiplicity 4)  3 O 1.95-1.96, 2 F 2.07
2 Fe 0.2500 0.0362 0.5399 (multiplicity 4)  3 O 1.93-1.94, 2 F 2.13
3 O 0.0000 0.0000 0.7113 (multiplicity 4)  3 Fe 1.94-1.95
4 O 0.2500 0.3211 0.5224 (multiplicity 4)  3 Fe 1.93-1.96
5 F 0.0000 0.0000 0.3245 (multiplicity 4)  3 Fe 2.13-2.19
6 F 0.2500 0.2064 0.0156 (multiplicity 4)  3 Fe 2.07-2.23

Here is a relaxed Fe3O5F crystal from the Alexandria database. Energies are from GGA+U.

- Total DFT energy (no corrections): -6.0875 eV/atom
- Crystal system: monoclinic

a = 8.9465 Å, b = 6.3849 Å, c = 7.3665 Å
α = 90.00°, β = 113.86°, γ = 90.00°
With the nearest neighbours (Å) after each atom.
Space group Cm (No. 8)
Unique sites:
1 Fe 0.0000 0.0000 0.0000 (multiplicity 2)  5 O 1.87-1.94, 1 F 2.01
2 Fe 0.0024 0.0000 0.5008 (multiplicity 2)  6 O 1.95-2.09
3 Fe 0.1768 0.5000 0.1567 (multiplicity 2)  5 O 1.94-1.98, 1 F 2.13
4 Fe 0.1788 0.5000 0.6739 (multiplicity 2)  5 O 1.91-1.96, 1 F 2.09
5 Fe 0.3264 0.0000 0.3469 (multiplicity 2)  4 O 1.91-1.95, 2 F 2.10-2.11
6 Fe 0.3470 0.0000 0.8202 (multiplicity 2)  5 O 1.95-1.98, 1 F 2.19
7 O 0.0073 0.3044 0.9982 (multiplicity 4)  3 Fe 1.94-1.95
8 O 0.0970 0.0000 0.2838 (multiplicity 2)  3 Fe 1.91-2.09
9 O 0.1736 0.1927 0.6614 (multiplicity 4)  3 Fe 1.95-1.96
10 O 0.2808 0.5000 0.9652 (multiplicity 2)  3 Fe 1.87-1.98
11 O 0.3342 0.3048 0.3356 (multiplicity 4)  3 Fe 1.94-1.95
12 O 0.4026 0.5000 0.7117 (multiplicity 2)  3 Fe 1.91-2.08
13 O 0.4521 0.0000 0.6304 (multiplicity 2)  3 Fe 1.92-1.98
14 F 0.0658 0.5000 0.3632 (multiplicity 2)  3 Fe 2.09-2.13
15 F 0.2349 0.0000 0.0345 (multiplicity 2)  3 Fe 2.01-2.19

Here is a relaxed Fe2OF2 crystal from the Alexandria database. Energies are from GGA+U.

- Total DFT energy (no corrections): -5.9700 eV/atom
- Crystal system: monoclinic

a = 9.4259 Å, b = 5.4219 Å, c = 14.4335 Å
α = 90.00°, β = 91.57°, γ = 90.00°
With the nearest neighbours (Å) after each atom.
Space group C2/c (No. 15)
Unique sites:
1 Fe 0.0074 0.0359 0.3524 (multiplicity 8)  2 O 1.99-2.04, 2 F 2.16-2.21
2 Fe 0.1389 0.4569 0.6881 (multiplicity 8)  2 O 2.05, 3 F 2.11-2.25
3 Fe 0.1523 0.4982 0.9805 (multiplicity 8)  2 O 2.00-2.18, 3 F 2.15-2.19
4 O 0.0000 0.2231 0.7500 (multiplicity 4)  4 Fe 2.04-2.05
5 O 0.0158 0.3659 0.0896 (multiplicity 8)  4 Fe 1.99-2.18
6 F 0.1630 0.1658 0.5782 (multiplicity 8)  4 Fe 2.16-2.30
7 F 0.1719 0.1961 0.2553 (multiplicity 8)  3 Fe 2.11-2.29
8 F 0.1890 0.1328 0.9213 (multiplicity 8)  3 Fe 2.15-2.19

Repeat the second record exactly.
Here is a relaxed Fe2OF3 crystal from the Alexandria database. Energies are from GGA+U.

- Total DFT energy (no corrections): -5.7059 eV/atom
- Crystal system: monoclinic

a = 12.8205 Å, b = 3.2071 Å, c = 8.9403 Å
α = 90.00°, β = 122.92°, γ = 90.00°
With the nearest neighbours (Å) after each atom.
Space group C2/m (No. 12)
Unique sites:
1 Fe 0.1177 0.0000 0.4495 (multiplicity 4)  5 F 2.11-2.19, 2 O 2.18-2.32
2 Fe 0.1376 0.5000 0.8150 (multiplicity 4)  2 O 1.93, 2 F 1.99-2.01
3 O 0.0952 0.0000 0.6739 (multiplicity 4)  2 Fe 1.93
4 F 0.0372 0.5000 0.2503 (multiplicity 4)  3 Fe 1.99-2.19
5 F 0.1772 0.0000 0.0132 (multiplicity 4)  3 Fe 2.01-2.23
6 F 0.2346 0.5000 0.6036 (multiplicity 4)  3 Fe 2.11-2.19